4
Lattice="4.531 0.000 0.000 0.000 2.013 5.696 0.000 -2.013 5.696" Properties=species:S:1:pos:R:3 comment="PBE Pr2GaPd, relaxed" dft_energy_ev_per_atom=-5.089 sg="Amm2 (38)" crystal_system=orthorhombic pbc="T T T"
Pr 0.000 0.000 0.000
Pr 2.265 0.000 3.212
Ga 2.265 0.000 6.455
Pd 0.000 0.000 8.115



4
Lattice="0.000 3.401 3.401 3.401 0.000 3.401 3.401 3.401 0.000" Properties=species:S:1:pos:R:3 comment="PBE NaHfInPt, relaxed" dft_energy_ev_per_atom=-5.250 sg="F-43m (216)" crystal_system=cubic pbc="T T T"
Na 0.000 0.000 0.000
Hf 3.401 3.401 3.401
In 5.101 5.101 5.101
Pt 1.700 1.700 1.700



11
Lattice="-2.031 3.357 6.722 2.031 -3.357 6.722 2.031 3.357 -6.722" Properties=species:S:1:pos:R:3 comment="PBE DyEr2Ni4Ge4, relaxed" dft_energy_ev_per_atom=-5.701 sg="Immm (71)" crystal_system=orthorhombic pbc="T T T"
Dy 0.000 0.000 0.000
Er 2.031 0.000 4.984
Er 0.000 3.357 1.738
Ni 2.031 1.313 -2.383
Ni 2.031 1.313 2.383
Ni 0.000 2.044 4.339
Ni 0.000 2.044 9.105
Ge 0.000 0.000 2.926
Ge 2.031 2.062 0.000
Ge 0.000 1.295 6.722
Ge 0.000 0.000 10.519



8
Lattice="3.819 0.000 0.000 0.000 3.819 0.000 0.000 0.000 8.386" Properties=species:S:1:pos:R:3 comment="PBE ZrTaAsO, relaxed" dft_energy_ev_per_atom=-8.382 sg="P4/nmm (129)" crystal_system=tetragonal pbc="T T T"
Zr 0.955 2.864 0.000
Zr 2.864 0.955 0.000
Ta 0.955 0.955 3.018
Ta 2.864 2.864 5.368
As 0.955 0.955 6.359
As 2.864 2.864 2.027
O 0.955 2.864 4.193
O 2.864 0.955 4.193



12
Lattice="9.906 -2.334 0.000 9.906 2.334 0.000 -2.386 0.000 9.678" Properties=species:S:1:pos:R:3 comment="PBE RbPrCdTe3, relaxed" dft_energy_ev_per_atom=-3.649 sg="C2/m (12)" crystal_system=monoclinic pbc="T T T"
Rb 2.619 0.000 0.664
Rb 14.808 0.000 9.014
Pr 2.061 0.000 5.688
Pr 15.366 0.000 3.989
Cd 8.913 0.000 2.722
Cd 8.514 0.000 6.956
Te -1.193 0.000 4.839
Te 6.097 0.000 1.927
Te 5.189 0.000 6.164
Te 9.906 0.000 0.000
Te 12.238 0.000 3.514
Te 11.330 0.000 7.751



24
Lattice="13.870 0.000 0.000 0.000 4.205 0.000 0.000 0.000 11.215" Properties=species:S:1:pos:R:3 comment="PBE NdAgPbSe3, relaxed" dft_energy_ev_per_atom=-4.596 sg="Pnma (62)" crystal_system=orthorhombic pbc="T T T"
Nd 0.207 1.051 1.946
Nd 6.728 3.153 7.553
Nd 7.142 1.051 3.662
Nd 13.662 3.153 9.269
Ag 0.087 3.153 4.617
Ag 6.847 1.051 10.224
Ag 7.022 3.153 0.990
Ag 13.782 1.051 6.598
Pb 3.112 1.051 5.110
Pb 3.823 3.153 10.718
Pb 10.047 1.051 0.497
Pb 10.757 3.153 6.104
Se 1.525 1.051 10.499
Se 1.655 3.153 6.960
Se 2.088 3.153 2.850
Se 4.846 1.051 8.457
Se 5.280 1.051 1.352
Se 5.410 3.153 4.892
Se 8.459 1.051 6.323
Se 8.590 3.153 9.862
Se 9.023 3.153 2.758
Se 11.781 1.051 8.365
Se 12.214 1.051 4.255
Se 12.345 3.153 0.715



3
Lattice="2.917 -1.687 0.000 2.917 1.687 0.000 -1.992 0.000 7.889" Properties=species:S:1:pos:R:3 comment="PBE TbSc2, relaxed" sg="C2/m (12)" crystal_system=monoclinic formation_energy_ev_per_fu=0.10 pbc="T T T"
Tb 0.000 0.000 0.000
Sc -0.030 0.000 5.187
Sc 3.871 0.000 2.702



10
Lattice="2.957 1.707 4.289 -2.957 1.707 4.289 0.000 -3.415 4.289" Properties=species:S:1:pos:R:3 comment="PBE HfSbO3, relaxed" dft_energy_ev_per_atom=-7.936 sg="R-3c (167)" crystal_system=trigonal pbc="T T T"
Hf 0.000 0.000 0.000
Hf 0.000 0.000 6.434
Sb 0.000 0.000 3.217
Sb 0.000 0.000 9.651
O -1.805 0.289 5.362
O -1.153 -1.418 7.506
O 0.652 -1.707 5.362
O -0.652 1.707 7.506
O 1.153 1.418 5.362
O 1.805 -0.289 7.506